Below is a relaxed structure of TbTmTh6, with properties calculated at the GGA-PBE level.

extended XYZ file:
```
8
Lattice="-3.396 -6.670 -3.649 1.983 -7.975 -1.347 -2.599 -3.576 4.046" Properties=species:S:1:pos:R:3 pbc="T T T"
Th -2.864 -15.021 -1.817
Th -1.147 -3.199 0.867
Th -1.709 -11.879 -2.735
Th -0.859 -5.912 -1.343
Th -3.153 -12.309 0.393
Th -2.302 -6.341 1.786
Tb -2.006 -9.110 -0.475
Tm 0.000 0.000 0.000
```

- formation energy (kJ per mole of atoms) = 11.93
- relative energy among the computed polymorphs (kJ/mol of formula units) = 52
- raw total energy (eV/atom) = -6.58



Below is a relaxed structure of PrErCu2Ge2, with properties calculated at the GGA-PBE level.

extended XYZ file:
```
6
Lattice="-3.644 -2.200 -0.429 2.434 0.796 -3.427 3.764 -6.462 1.172" Properties=species:S:1:pos:R:3 pbc="T T T"
Pr 0.000 0.000 0.000
Ge 1.153 -5.959 -0.565
Ge 1.401 -1.908 -2.118
Cu 3.126 -4.869 -1.581
Cu -0.572 -2.997 -1.102
Er 1.882 -3.231 0.586
```

- formation energy (kJ per mole of atoms) = -64.92
- raw total energy (eV/atom) = -5.13



Below is a relaxed structure of InAgTe2, with properties calculated at the GGA-PBE level.

extended XYZ file:
```
4
Lattice="1.964 0.000 11.126 -0.982 1.701 11.126 -0.982 -1.701 11.126" Properties=species:S:1:pos:R:3 pbc="T T T"
Te 0.000 0.000 3.272
Te 0.000 0.000 30.105
In 0.000 0.000 0.000
Ag 0.000 0.000 16.688
```

- formation energy without anion corrections (eV per formula unit) = 0.55
- raw total energy (eV/atom) = -2.83